(1)
VASP calculation (PBE) on a geometry-optimized LaNiRu2 structure.

a = 4.5797 Å, b = 4.5797 Å, c = 4.5797 Å
α = 60.00°, β = 60.00°, γ = 60.00°
Last column: nearest neighbours and their distance in Å.
Fractional coordinates of all 4 atoms:
1 Ru 0.2500 0.2500 0.2500  4 La 2.80, 4 Ni 2.80
2 Ru 0.7500 0.7500 0.7500  4 Ni 2.80, 4 La 2.80
3 La 0.5000 0.5000 0.5000  8 Ru 2.80
4 Ni 0.0000 0.0000 0.0000  8 Ru 2.80

Offset from the most stable computed form = 9.80 kcal/mol of atoms
Total energy = -27.8 eV for the cell shown
Energy relative to the elements = 359 meV per atom

***

(2)
VASP calculation (PBE) on a geometry-optimized W5Br structure.

a = 6.9438 Å, b = 6.9438 Å, c = 4.8582 Å
α = 90.00°, β = 90.00°, γ = 153.87°
Last column: nearest neighbours and their distance in Å.
Fractional coordinates of all 6 atoms:
1 W 0.6764 0.3236 0.0000  4 W 2.53-2.81, 2 Br 2.81
2 W 0.1146 0.8854 0.5000  8 W 2.75-3.01, 2 Br 2.85
3 W 0.3230 0.6770 0.0000  2 W 2.53
4 W 0.4341 0.5659 0.5000  6 W 2.60-2.90
5 W 0.7813 0.2187 0.5000  6 W 2.60-2.81
6 Br 0.0040 0.9960 0.0000  10 W 2.81-3.04, 2 Br 3.14

Offset from the most stable computed form = 6.71 kcal/mol of atoms
Total energy = -61.8 eV for the cell shown
Raw formation energy = 781 meV/atom

***

Number 2 is which compound?
W5Br